(1)
FeSbIr2 | GGA-PBE | optimized geometry

Lattice parameters (Å, degrees): 4.064 4.064 7.465 90.00 90.00 90.00
Space group I4/mmm (No. 139)
Asymmetric unit:
Fe  0.000  0.000  0.000 x2
Sb  0.000  0.000  0.500 x2
Ir  0.000  0.500  0.250 x4

**Formation energy without anion corrections**: 1.491 kcal/mol of atoms
**Crystal system**: tetragonal

(2)
RbTlH2Pd2 | GGA-PBE | optimized geometry

Lattice parameters (Å, degrees): 6.347 5.559 8.277 90.00 102.73 90.00
Space group P2_1/m (No. 11)
Asymmetric unit:
Rb  0.207  0.250  0.368 x2
Tl  0.332  0.750  0.063 x2
H  0.138  0.250  0.797 x2
H  0.362  0.750  0.662 x2
Pd  0.293  0.002  0.765 x4

**Crystal system**: monoclinic
**Raw total energy**: -3.583 eV/atom

(3)
La4DyY | GGA-PBE | optimized geometry

Lattice parameters (Å, degrees): 11.478 6.068 7.157 90.00 121.88 90.00
Space group C2/m (No. 12)
Asymmetric unit:
La  0.162  0.000  0.014 x4
La  0.167  0.000  0.521 x4
Dy  0.000  0.500  0.000 x2
Y  0.000  0.500  0.500 x2

**Crystal system**: monoclinic
**Distance to the lowest polymorph of the same formula**: 44.6 meV per atom
**Formation energy**: 0.104 eV/atom

(4)
MgTe3Pt | GGA-PBE | optimized geometry

Lattice parameters (Å, degrees): 5.349 5.349 5.349 90.00 90.00 90.00
Space group Pm-3m (No. 221)
Asymmetric unit:
Mg  0.000  0.000  0.000 x1
Te  0.000  0.500  0.500 x3
Pt  0.500  0.500  0.500 x1

**Formation energy without anion corrections**: 4.480 kcal/mol of atoms
**Crystal system**: cubic
**Distance to the lowest polymorph of the same formula**: 0.0 meV per atom